VASP calculation (PBE) on a relaxed K2NpGaTe4 crystal.

M_tot ... 0.500 μB/atom
N(E_F) ... 0.71 states/eV/atom
Formation energy from raw total energies ... -65.3 kJ per mole of atoms
Total DFT energy (no corrections) ... -4.518 eV per atom

a b c (Å): 7.600 7.184 7.184
angles (deg): 73.75 58.07 58.07
Last column: magnetic moment on the atom in μB.
Element x y z (fractional)
1 Ga 0.500 0.000 0.000  0.00
2 Np 0.000 0.000 0.000  4.04
3 K 0.500 0.500 0.500  0.00
4 K 0.000 0.500 0.500  0.00
5 Te 0.110 0.354 0.000  -0.04
6 Te 0.890 0.000 0.646  -0.04
7 Te 0.464 0.646 0.000  -0.04
8 Te 0.536 0.000 0.354  -0.04

VASP calculation (PBE) on a relaxed K2GaO3 crystal.

M_tot ... 0.170 μB/atom
Formation energy from raw total energies ... -140.6 kJ per mole of atoms
Total DFT energy (no corrections) ... -4.806 eV per atom

a b c (Å): 5.605 6.723 6.723
angles (deg): 113.26 90.00 90.00
Last column: magnetic moment on the atom in μB.
Element x y z (fractional)
1 K 0.513 0.505 0.819  0.00
2 K 0.013 0.495 0.181  0.00
3 K 0.013 0.181 0.495  0.00
4 K 0.513 0.819 0.505  0.00
5 O 0.884 0.082 0.082  0.00
6 O 0.384 0.918 0.918  0.00
7 O 0.996 0.579 0.819  0.41
8 O 0.496 0.421 0.181  0.41
9 O 0.996 0.819 0.579  0.41
10 O 0.496 0.181 0.421  0.41
11 Ga 0.556 0.131 0.131  -0.02
12 Ga 0.056 0.869 0.869  -0.02